Compound: Sr2In3Pt4
Source: Alexandria
Functional: PBE
Structure: optimized geometry

The space group is Cmce (No. 64) and the conventional cell measures 6.113, 16.786 and 7.755 Å, with angles of 90.00, 90.00 and 90.00 degrees. Symmetry generates all atoms from Sr at (0.000, 0.100, 0.090), In at (0.000, 0.000, 0.500), In at (0.250, 0.236, 0.750), Pt at (0.000, 0.172, 0.480) and Pt at (0.250, 0.070, 0.750).

The value obtained for the electronic total energy is -4.680 eV per atom. As for the formation energy: -615.4 kJ/mol of formula units. For the total magnetization, the calculation gives 0.00 μB/f.u.